Record 1
A geometry-optimized Nd3Ga2Pd7 structure, computed with GGA-PBE.

Unit cell a=14.8889 b=14.8889 c=4.0942 alpha=90.00 beta=90.00 gamma=163.79
With the nearest neighbours (Å) after each atom.
Atoms (fractional coordinates):
1 Nd 0.0000 0.0000 0.0000  4 Pd 2.93
2 Nd 0.2007 0.7993 0.0000  8 Pd 2.92-2.95
3 Nd 0.7993 0.2007 0.0000  8 Pd 2.92-2.95
4 Ga 0.4171 0.5829 0.5000  5 Pd 2.44-2.51
5 Ga 0.5829 0.4171 0.5000  5 Pd 2.44-2.51
6 Pd 0.1296 0.8704 0.5000  2 Ga 2.51
7 Pd 0.2888 0.7112 0.5000  4 Nd 2.95, 6 Pd 3.10-3.19
8 Pd 0.3682 0.6318 0.0000  2 Ga 2.50
9 Pd 0.5000 0.5000 0.5000  2 Ga 2.44
10 Pd 0.6318 0.3682 0.0000  2 Ga 2.50
11 Pd 0.7112 0.2888 0.5000  4 Nd 2.95, 6 Pd 3.10-3.19
12 Pd 0.8704 0.1296 0.5000  2 Ga 2.51

Properties
excess energy over the best structure of this formula in the dataset	112.8	meV per atom
energy of formation	-0.64	eV per atom



Record 2
A geometry-optimized La5Ga2Sn5 structure, computed with GGA-PBE.

Unit cell a=8.5190 b=8.5190 c=12.3231 alpha=128.35 beta=128.35 gamma=31.15
With the nearest neighbours (Å) after each atom.
Atoms (fractional coordinates):
1 La 0.0000 0.0000 0.0000  4 Ga 3.31, 6 Sn 3.42-3.50
2 La 0.1113 0.1113 0.4239  7 Sn 3.35-3.51, 3 Ga 3.35-3.41
3 La 0.2011 0.2011 0.8310  5 Sn 3.29-3.33, 1 Ga 3.36
4 La 0.7989 0.7989 0.1690  5 Sn 3.29-3.33, 1 Ga 3.36
5 La 0.8887 0.8887 0.5761  7 Sn 3.35-3.51, 3 Ga 3.35-3.41
6 Ga 0.3605 0.3605 0.7484  3 Sn 2.69-2.74
7 Ga 0.6395 0.6395 0.2516  3 Sn 2.69-2.74
8 Sn 0.2548 0.2548 0.3172  2 Ga 2.74
9 Sn 0.4371 0.4371 0.1507  1 Ga 2.69
10 Sn 0.5000 0.5000 0.5000  2 Sn 3.10, 4 La 3.41
11 Sn 0.5629 0.5629 0.8493  1 Ga 2.69
12 Sn 0.7452 0.7452 0.6828  2 Ga 2.74

Properties
energy of formation	-0.72	eV per atom



Record 3
A geometry-optimized YAl2Sb structure, computed with GGA-PBE.

Unit cell a=9.5794 b=9.5794 c=9.5794 alpha=20.34 beta=20.34 gamma=20.34
With the nearest neighbours (Å) after each atom.
Atoms (fractional coordinates):
1 Y 0.0000 0.0000 0.0000  3 Al 3.16, 3 Sb 3.28, 6 Y 3.38
2 Al 0.2449 0.2449 0.2449  3 Al 2.81
3 Al 0.5067 0.5067 0.5067  3 Al 2.81, 3 Sb 2.97
4 Sb 0.7604 0.7604 0.7604  3 Al 2.97, 3 Y 3.28

Properties
ΔE_f (raw)	-0.066	eV per atom



Record 4
A geometry-optimized U3O8 structure, computed with GGA-PBE.

Unit cell a=6.8390 b=6.8390 c=4.1603 alpha=90.00 beta=90.00 gamma=120.00
With the nearest neighbours (Å) after each atom.
Atoms (fractional coordinates):
1 U 0.0000 0.3510 0.0000  6 O 2.08-2.22
2 U 0.3510 0.0000 0.0000  6 O 2.08-2.22
3 U 0.6490 0.6490 0.0000  6 O 2.08-2.22
4 O 0.0000 0.3574 0.5000  2 U 2.08
5 O 0.0000 0.7482 0.0000  2 U 2.14
6 O 0.2518 0.2518 0.0000  2 U 2.14
7 O 0.3333 0.6667 0.0000  3 U 2.22
8 O 0.3574 0.0000 0.5000  2 U 2.08
9 O 0.6426 0.6426 0.5000  2 U 2.08
10 O 0.6667 0.3333 0.0000  3 U 2.22
11 O 0.7482 0.0000 0.0000  2 U 2.14

Properties
excess energy over the best structure of this formula in the dataset	0.0	meV per atom
ΔE_f (raw)	-3.193	eV per atom



Record 5
A geometry-optimized ZrMo2P structure, computed with GGA-PBE.

Unit cell a=4.8500 b=4.8500 c=4.6364 alpha=105.43 beta=105.43 gamma=39.18
With the nearest neighbours (Å) after each atom.
Atoms (fractional coordinates):
1 Zr 0.0000 0.0000 0.0000  6 Mo 2.80-2.97, 4 P 2.83
2 Mo 0.2275 0.2275 0.7021  3 P 2.60-2.90, 2 Mo 2.60, 1 Zr 2.80
3 Mo 0.7725 0.7725 0.2979  3 P 2.60-2.90, 2 Mo 2.60, 1 Zr 2.80
4 P 0.5000 0.5000 0.5000  6 Mo 2.60-2.90, 4 Zr 2.83

Properties
energy of formation	-0.23	eV per atom



Record 6
A geometry-optimized TcPOs2 structure, computed with GGA-PBE.

Unit cell a=2.8530 b=2.8530 c=6.6486 alpha=90.00 beta=90.00 gamma=90.00
With the nearest neighbours (Å) after each atom.
Atoms (fractional coordinates):
1 Tc 0.0000 0.0000 0.0000  4 P 2.49, 4 Os 2.73
2 P 0.5000 0.5000 0.7809  4 Os 2.48, 4 Tc 2.49
3 Os 0.0000 0.0000 0.5646  4 P 2.48
4 Os 0.5000 0.5000 0.2758  4 Tc 2.73, 8 Os 2.79-2.85

Properties
energy of formation	-0.08	eV per atom



Uncorrected energy list, top to bottom, in eV/atom: -5.3645, -4.9462, -4.5839, -9.8779, -9.1397, -9.6371
N(E_F) list, top to bottom, in states/eV/f.u.: 3.42, 5.85, 1.60, 7.67, 2.87, 2.07